Here is Ce12TlHg6 after structural relaxation from the Alexandria database. Energies are from GGA-PBE.

```
data_Ce12TlHg6
_chemical_formula_sum 'Ce36 Tl3 Hg18'
_cell_length_a 11.0526
_cell_length_b 11.0526
_cell_length_c 14.4773
_cell_angle_alpha 90.00
_cell_angle_beta 90.00
_cell_angle_gamma 120.00
_space_group_name_H-M_alt 'R -3'
_space_group_IT_number 148
_space_group_name_Hall '-R 3'
loop_
_atom_site_label
_atom_site_fract_x
_atom_site_fract_y
_atom_site_fract_z
_atom_site_occupancy
Ce1 0.0550 0.8847 0.3038 1
Ce2 0.0562 0.2119 0.9398 1
Tl1 0.0000 0.0000 0.5000 1
Hg1 0.0272 0.6041 0.1954 1
```

DFT formation energy	-126	meV per atom